SrTaMn2 (PBE, relaxed); distance to the lowest polymorph of the same formula = 215 meV/atom; energy of formation from the pure elements = 588 meV per atom; raw total energy = -7.38 eV/atom
1.0
4.224 -1.545 0.000
4.224 1.545 0.000
-0.749 0.000 6.695
Sr Ta Mn
1 1 2
Direct
0.000 0.000 0.000
0.500 0.500 0.500
0.234 0.234 0.655
0.766 0.766 0.345